# 1
YTc2As: relaxed, PBE-GGA.

For the magnetization, the calculation gives 1.16 μB/cell. The calculation puts the formation energy from the elements at 0.1495 eV/atom. As for the symmetry: F-43m.

Cell and atoms, written as POSCAR:
```
YTc2As
1.0
0.0000 3.2785 3.2785
3.2785 0.0000 3.2785
3.2785 3.2785 0.0000
Y Tc As
1 2 1
direct
0.0000 0.0000 0.0000
0.2500 0.2500 0.2500
0.5000 0.5000 0.5000
0.7500 0.7500 0.7500
```

=====

# 2
YTcAs2: relaxed, PBE-GGA.

For the magnetization, the calculation gives 0.00 μB/cell. The calculation puts the formation energy from the elements at -0.4124 eV/atom. As for the symmetry: Cm.

Cell and atoms, written as POSCAR:
```
YTcAs2
1.0
4.7470 -1.6915 0.0000
4.7470 1.6915 0.0000
-1.3498 0.0000 4.8241
Y Tc As
1 1 2
direct
0.0000 0.0000 0.0000
0.2337 0.2337 0.5930
0.5178 0.5178 0.5126
0.7566 0.7566 0.2288
```

=====

# 3
YTc3As: relaxed, PBE-GGA.

For the magnetization, the calculation gives 3.14 μB/cell. The calculation puts the formation energy from the elements at 2.3938 eV/atom. As for the symmetry: Pm-3m.

Cell and atoms, written as POSCAR:
```
YTc3As
1.0
4.8400 0.0000 0.0000
0.0000 4.8400 0.0000
0.0000 0.0000 4.8400
Y Tc As
1 3 1
direct
0.0000 0.0000 0.0000
0.0000 0.0000 0.5000
0.0000 0.5000 0.0000
0.5000 0.0000 0.0000
0.5000 0.5000 0.5000
```

=====

# 4
YTcAs2: relaxed, PBE-GGA.

For the magnetization, the calculation gives 0.00 μB/cell. The calculation puts the formation energy from the elements at -0.4623 eV/atom. As for the symmetry: Amm2.

Cell and atoms, written as POSCAR:
```
YTcAs2
1.0
4.6472 0.0000 0.0000
0.0000 1.7752 5.3214
0.0000 -1.7752 5.3214
Y Tc As
1 1 2
direct
0.0000 0.0000 0.0000
0.5000 0.2191 0.2191
0.0000 0.2785 0.2785
0.5000 0.5594 0.5594
```

=====

# 5
YTc2As: relaxed, PBE-GGA.

For the magnetization, the calculation gives 0.00 μB/cell. The calculation puts the formation energy from the elements at 0.2843 eV/atom. As for the symmetry: Cmmm.

Cell and atoms, written as POSCAR:
```
YTc2As
1.0
1.7023 -2.5471 0.0000
1.7023 2.5471 0.0000
0.0000 0.0000 8.2886
Y Tc As
1 2 1
direct
0.0000 0.0000 0.0000
0.5000 0.5000 0.2848
0.5000 0.5000 0.7152
0.0000 0.0000 0.5000
```

=====

# 6
YTc2As: relaxed, PBE-GGA.

For the magnetization, the calculation gives 0.00 μB/cell. The calculation puts the formation energy from the elements at -0.1586 eV/atom. As for the symmetry: P4mm.

Cell and atoms, written as POSCAR:
```
YTc2As
1.0
3.1042 0.0000 0.0000
0.0000 3.1042 0.0000
0.0000 0.0000 7.4099
Y Tc As
1 2 1
direct
0.0000 0.0000 0.0000
0.0000 0.0000 0.5100
0.5000 0.5000 0.7217
0.5000 0.5000 0.3145
```

=====

# 7
YTcAs3: relaxed, PBE-GGA.

For the magnetization, the calculation gives 0.00 μB/cell. The calculation puts the formation energy from the elements at 1.4213 eV/atom. As for the symmetry: Pm-3m.

Cell and atoms, written as POSCAR:
```
YTcAs3
1.0
5.2308 0.0000 0.0000
0.0000 5.2308 0.0000
0.0000 0.0000 5.2308
Y Tc As
1 1 3
direct
0.0000 0.0000 0.0000
0.5000 0.5000 0.5000
0.0000 0.0000 0.5000
0.0000 0.5000 0.0000
0.5000 0.0000 0.0000
```

=====

# 8
YTcAs2: relaxed, PBE-GGA.

For the magnetization, the calculation gives 0.00 μB/cell. The calculation puts the formation energy from the elements at -0.4675 eV/atom. As for the symmetry: Fm-3m.

Cell and atoms, written as POSCAR:
```
YTcAs2
1.0
0.0000 3.3055 3.3055
3.3055 0.0000 3.3055
3.3055 3.3055 0.0000
Y Tc As
1 1 2
direct
0.0000 0.0000 0.0000
0.5000 0.5000 0.5000
0.2500 0.2500 0.2500
0.7500 0.7500 0.7500
```

=====

| no. | energy above the lowest structure with this stoichiometry (eV/atom) |
| --- | --- |
| 1 | 0.508 |
| 2 | 0.200 |
| 3 | 1.948 |
| 4 | 0.150 |
| 5 | 0.643 |
| 6 | 0.200 |
| 7 | 1.403 |
| 8 | 0.145 |